Arrangement P

A crystal of YSi2Mo relaxed with PBEsol, computed with SCAN. Values from VASP.

Calculated values
The density of states at the Fermi level comes out at 1.984 states/eV/cell. The calculated volume comes out at 16.8 A^3/atom.

The structure in Quantum ESPRESSO input format:
```
&SYSTEM
  ibrav = 0, nat = 4, ntyp = 3
/
ATOMIC_SPECIES
Y 88.91 Y.upf
Si 28.09 Si.upf
Mo 95.94 Mo.upf
CELL_PARAMETERS angstrom
3.205 0.000 0.000
0.000 3.205 0.000
0.000 0.000 6.557
ATOMIC_POSITIONS crystal
Y 0.000 0.000 0.000
Si 0.500 0.500 0.308
Si 0.500 0.500 0.692
Mo 0.000 0.000 0.500
```



Arrangement Q

A crystal of YSi2Mo relaxed with PBEsol, computed with SCAN. Values from VASP.

Calculated values
The density of states at the Fermi level comes out at 2.290 states/eV/cell. The calculated volume comes out at 16.8 A^3/atom.

The structure in Quantum ESPRESSO input format:
```
&SYSTEM
  ibrav = 0, nat = 4, ntyp = 3
/
ATOMIC_SPECIES
Y 88.91 Y.upf
Si 28.09 Si.upf
Mo 95.94 Mo.upf
CELL_PARAMETERS angstrom
3.695 0.000 0.000
0.000 4.064 0.000
0.000 0.000 4.473
ATOMIC_POSITIONS crystal
Y 0.000 0.000 0.000
Si 0.000 0.500 0.500
Si 0.500 0.500 0.000
Mo 0.500 0.000 0.500
```



Which structure loses on stability? arrangement Q does.



Arrangement P

A crystal of SrMo2 relaxed with PBEsol, computed with SCAN. Values from VASP.

Calculated values
The density of states at the Fermi level comes out at 2.741 states/eV/cell. The calculated volume comes out at 25.4 A^3/atom.

The structure in Quantum ESPRESSO input format:
```
&SYSTEM
  ibrav = 0, nat = 3, ntyp = 2
/
ATOMIC_SPECIES
Sr 87.62 Sr.upf
Mo 95.94 Mo.upf
CELL_PARAMETERS angstrom
4.064 0.000 0.000
-2.032 3.519 0.000
0.000 0.000 5.331
ATOMIC_POSITIONS crystal
Sr 0.000 0.000 0.000
Mo 0.333 0.667 0.500
Mo 0.667 0.333 0.500
```



Arrangement Q

A crystal of SrMo2 relaxed with PBEsol, computed with SCAN. Values from VASP.

Calculated values
The density of states at the Fermi level comes out at 7.194 states/eV/cell. The calculated volume comes out at 21.5 A^3/atom.

The structure in Quantum ESPRESSO input format:
```
&SYSTEM
  ibrav = 0, nat = 6, ntyp = 2
/
ATOMIC_SPECIES
Sr 87.62 Sr.upf
Mo 95.94 Mo.upf
CELL_PARAMETERS angstrom
3.273 0.000 0.000
0.000 3.273 0.000
0.000 0.000 12.064
ATOMIC_POSITIONS crystal
Sr 0.000 0.000 0.000
Sr 0.500 0.500 0.500
Mo 0.000 0.000 0.296
Mo 0.000 0.000 0.704
Mo 0.500 0.500 0.204
Mo 0.500 0.500 0.796
```



Which structure loses on stability? arrangement P does.



Arrangement P

A crystal of SrMo3 relaxed with PBEsol, computed with SCAN. Values from VASP.

Calculated values
The density of states at the Fermi level comes out at 12.816 states/eV/cell. The calculated volume comes out at 17.8 A^3/atom.

The structure in Quantum ESPRESSO input format:
```
&SYSTEM
  ibrav = 0, nat = 12, ntyp = 2
/
ATOMIC_SPECIES
Sr 87.62 Sr.upf
Mo 95.94 Mo.upf
CELL_PARAMETERS angstrom
9.573 0.000 0.000
-4.787 8.291 0.000
0.000 0.000 2.691
ATOMIC_POSITIONS crystal
Sr 0.000 0.000 0.000
Sr 0.333 0.667 0.667
Sr 0.667 0.333 0.333
Mo 0.000 0.500 0.000
Mo 0.167 0.333 0.333
Mo 0.167 0.833 0.333
Mo 0.333 0.167 0.667
Mo 0.500 0.000 0.000
Mo 0.500 0.500 0.000
Mo 0.667 0.833 0.333
Mo 0.833 0.167 0.667
Mo 0.833 0.667 0.667
```



Arrangement Q

A crystal of SrMo3 relaxed with PBEsol, computed with SCAN. Values from VASP.

Calculated values
The density of states at the Fermi level comes out at 3.833 states/eV/cell. The calculated volume comes out at 19.5 A^3/atom.

The structure in Quantum ESPRESSO input format:
```
&SYSTEM
  ibrav = 0, nat = 4, ntyp = 2
/
ATOMIC_SPECIES
Sr 87.62 Sr.upf
Mo 95.94 Mo.upf
CELL_PARAMETERS angstrom
3.143 0.000 0.000
-1.572 2.722 0.000
0.000 0.000 9.127
ATOMIC_POSITIONS crystal
Sr 0.000 0.000 0.000
Mo 0.000 0.000 0.500
Mo 0.667 0.333 0.299
Mo 0.667 0.333 0.701
```



Which structure loses on stability? arrangement P does.



Arrangement P

A crystal of SrTaMo2 relaxed with PBEsol, computed with SCAN. Values from VASP.

Calculated values
The density of states at the Fermi level comes out at 18.791 states/eV/cell. The calculated volume comes out at 18.6 A^3/atom.

The structure in Quantum ESPRESSO input format:
```
&SYSTEM
  ibrav = 0, nat = 16, ntyp = 3
/
ATOMIC_SPECIES
Sr 87.62 Sr.upf
Ta 180.95 Ta.upf
Mo 95.94 Mo.upf
CELL_PARAMETERS angstrom
6.681 0.000 0.000
0.000 6.681 0.000
0.000 0.000 6.681
ATOMIC_POSITIONS crystal
Sr 0.000 0.000 0.000
Sr 0.000 0.500 0.500
Sr 0.500 0.000 0.500
Sr 0.500 0.500 0.000
Ta 0.000 0.000 0.500
Ta 0.000 0.500 0.000
Ta 0.500 0.000 0.000
Ta 0.500 0.500 0.500
Mo 0.250 0.250 0.250
Mo 0.250 0.250 0.750
Mo 0.250 0.750 0.250
Mo 0.250 0.750 0.750
Mo 0.750 0.250 0.250
Mo 0.750 0.250 0.750
Mo 0.750 0.750 0.250
Mo 0.750 0.750 0.750
```



Arrangement Q

A crystal of SrTaMo2 relaxed with PBEsol, computed with SCAN. Values from VASP.

Calculated values
The density of states at the Fermi level comes out at 7.711 states/eV/cell. The calculated volume comes out at 20.3 A^3/atom.

The structure in Quantum ESPRESSO input format:
```
&SYSTEM
  ibrav = 0, nat = 8, ntyp = 3
/
ATOMIC_SPECIES
Sr 87.62 Sr.upf
Ta 180.95 Ta.upf
Mo 95.94 Mo.upf
CELL_PARAMETERS angstrom
9.094 0.000 0.000
0.000 2.718 0.000
-0.007 0.000 6.559
ATOMIC_POSITIONS crystal
Sr 0.000 0.000 0.000
Sr 0.500 0.500 0.000
Ta 0.247 0.000 0.318
Ta 0.747 0.500 0.318
Mo 0.005 0.500 0.515
Mo 0.253 0.500 0.698
Mo 0.505 0.000 0.515
Mo 0.753 0.000 0.698
```



Which structure loses on stability? arrangement P does.



Arrangement P

A crystal of SrTcMo2 relaxed with PBEsol, computed with SCAN. Values from VASP.

Calculated values
The density of states at the Fermi level comes out at 4.086 states/eV/cell. The calculated volume comes out at 17.4 A^3/atom.

The structure in Quantum ESPRESSO input format:
```
&SYSTEM
  ibrav = 0, nat = 4, ntyp = 3
/
ATOMIC_SPECIES
Sr 87.62 Sr.upf
Tc 98.00 Tc.upf
Mo 95.94 Mo.upf
CELL_PARAMETERS angstrom
3.132 0.000 0.000
0.000 4.621 0.000
0.000 0.000 4.805
ATOMIC_POSITIONS crystal
Sr 0.000 0.000 0.000
Tc 0.500 0.500 0.000
Mo 0.000 0.500 0.500
Mo 0.500 0.000 0.500
```



Arrangement Q

A crystal of SrTcMo2 relaxed with PBEsol, computed with SCAN. Values from VASP.

Calculated values
The density of states at the Fermi level comes out at 7.105 states/eV/cell. The calculated volume comes out at 17.8 A^3/atom.

The structure in Quantum ESPRESSO input format:
```
&SYSTEM
  ibrav = 0, nat = 8, ntyp = 3
/
ATOMIC_SPECIES
Sr 87.62 Sr.upf
Tc 98.00 Tc.upf
Mo 95.94 Mo.upf
CELL_PARAMETERS angstrom
3.239 0.000 0.000
0.000 4.597 0.000
0.000 0.000 9.564
ATOMIC_POSITIONS crystal
Sr 0.000 0.000 0.000
Sr 0.500 0.500 0.000
Tc 0.000 0.500 0.279
Tc 0.500 0.000 0.279
Mo 0.000 0.000 0.489
Mo 0.000 0.500 0.705
Mo 0.500 0.000 0.705
Mo 0.500 0.500 0.489
```



Arrangement R

A crystal of SrTcMo2 relaxed with PBEsol, computed with SCAN. Values from VASP.

Calculated values
The density of states at the Fermi level comes out at 4.723 states/eV/cell. The calculated volume comes out at 17.9 A^3/atom.

The structure in Quantum ESPRESSO input format:
```
&SYSTEM
  ibrav = 0, nat = 4, ntyp = 3
/
ATOMIC_SPECIES
Sr 87.62 Sr.upf
Tc 98.00 Tc.upf
Mo 95.94 Mo.upf
CELL_PARAMETERS angstrom
3.813 0.000 0.000
0.000 3.813 0.000
0.000 0.000 4.928
ATOMIC_POSITIONS crystal
Sr 0.000 0.000 0.000
Tc 0.500 0.500 0.000
Mo 0.000 0.500 0.500
Mo 0.500 0.000 0.500
```



Which structure loses on stability? arrangement R does.



Arrangement P

A crystal of SrTe2Mo relaxed with PBEsol, computed with SCAN. Values from VASP.

Calculated values
The density of states at the Fermi level comes out at 3.537 states/eV/cell. The calculated volume comes out at 25.8 A^3/atom.

The structure in Quantum ESPRESSO input format:
```
&SYSTEM
  ibrav = 0, nat = 8, ntyp = 3
/
ATOMIC_SPECIES
Sr 87.62 Sr.upf
Te 127.60 Te.upf
Mo 95.94 Mo.upf
CELL_PARAMETERS angstrom
7.960 0.000 0.000
0.000 3.826 0.000
-1.789 0.000 6.787
ATOMIC_POSITIONS crystal
Sr 0.000 0.000 0.000
Sr 0.500 0.500 0.000
Te 0.237 0.000 0.694
Te 0.263 0.500 0.306
Te 0.737 0.500 0.694
Te 0.763 0.000 0.306
Mo 0.000 0.500 0.500
Mo 0.500 0.000 0.500
```



Arrangement Q

A crystal of SrTe2Mo relaxed with PBEsol, computed with SCAN. Values from VASP.

Calculated values
The calculated volume comes out at 22.9 A^3/atom.

The structure in Quantum ESPRESSO input format:
```
&SYSTEM
  ibrav = 0, nat = 16, ntyp = 3
/
ATOMIC_SPECIES
Sr 87.62 Sr.upf
Te 127.60 Te.upf
Mo 95.94 Mo.upf
CELL_PARAMETERS angstrom
7.156 0.000 0.000
0.000 7.156 0.000
0.000 0.000 7.156
ATOMIC_POSITIONS crystal
Sr 0.000 0.000 0.000
Sr 0.000 0.500 0.500
Sr 0.500 0.000 0.500
Sr 0.500 0.500 0.000
Te 0.250 0.250 0.250
Te 0.250 0.250 0.750
Te 0.250 0.750 0.250
Te 0.250 0.750 0.750
Te 0.750 0.250 0.250
Te 0.750 0.250 0.750
Te 0.750 0.750 0.250
Te 0.750 0.750 0.750
Mo 0.000 0.000 0.500
Mo 0.000 0.500 0.000
Mo 0.500 0.000 0.000
Mo 0.500 0.500 0.500
```



Arrangement R

A crystal of SrTe2Mo relaxed with PBEsol, computed with SCAN. Values from VASP.

Calculated values
The density of states at the Fermi level comes out at 3.772 states/eV/cell. The calculated volume comes out at 26.9 A^3/atom.

The structure in Quantum ESPRESSO input format:
```
&SYSTEM
  ibrav = 0, nat = 12, ntyp = 3
/
ATOMIC_SPECIES
Sr 87.62 Sr.upf
Te 127.60 Te.upf
Mo 95.94 Mo.upf
CELL_PARAMETERS angstrom
4.284 0.000 0.000
-2.142 3.710 0.000
0.000 0.000 20.346
ATOMIC_POSITIONS crystal
Sr 0.000 0.000 0.000
Sr 0.333 0.667 0.667
Sr 0.667 0.333 0.333
Te 0.000 0.000 0.232
Te 0.000 0.000 0.768
Te 0.333 0.667 0.434
Te 0.333 0.667 0.899
Te 0.667 0.333 0.101
Te 0.667 0.333 0.566
Mo 0.000 0.000 0.500
Mo 0.333 0.667 0.167
Mo 0.667 0.333 0.833
```



Which structure loses on stability? arrangement Q does.